Record 1
First-principles (GGA-PBE) data for crystalline AcCeC at its relaxed geometry, as listed in the Alexandria database.

As for the total energy: -6.052 eV per atom. Its energy of formation from the pure elements is 0.37 eV/atom. Its density is 9.36 g/cm³. As for the volume: 269.1 Å³/cell. The excess energy over the best structure of this formula in the dataset is 1.08 eV/f.u.

The space group is F-43m (No. 216) and the conventional cell measures 6.456, 6.456 and 6.456 Å, with angles of 90.00, 90.00 and 90.00 degrees. The distinct sites, in fractional coordinates, are Ac at (0.000, 0.000, 0.000), Ce at (0.000, 0.000, 0.500) and C at (0.250, 0.250, 0.750).

=====

Record 2
First-principles (GGA-PBE) data for crystalline P2S at its relaxed geometry, as listed in the Alexandria database.

Its raw formation energy is 0.197 eV/atom. As for the total energy: -4.786 eV per atom. Its density is 3.22 g/cm³. As for the volume: 96.9 Å³/cell. The excess energy over the best structure of this formula in the dataset is 0.51 eV/f.u.

The space group is C2/m (No. 12) and the conventional cell measures 6.134, 3.447 and 4.669 Å, with angles of 90.00, 101.06 and 90.00 degrees. The distinct sites, in fractional coordinates, are P at (0.140, 0.000, 0.366) and S at (0.000, 0.500, 0.000).

=====

Record 3
First-principles (GGA-PBE) data for crystalline TeRu4Rh2 at its relaxed geometry, as listed in the Alexandria database.

Its raw formation energy is 1.509 eV/atom. As for the total energy: -6.340 eV per atom. Its density is 8.63 g/cm³. As for the volume: 283.9 Å³/cell.

The space group is I4/mmm (No. 139) and the conventional cell measures 4.799, 4.799 and 12.324 Å, with angles of 90.00, 90.00 and 90.00 degrees. The distinct sites, in fractional coordinates, are Te at (0.000, 0.000, 0.000), Ru at (0.000, 0.000, 0.207), Ru at (0.000, 0.500, 0.000) and Rh at (0.000, 0.000, 0.396).

=====

Record 4
First-principles (GGA-PBE) data for crystalline CaTa2Rh2 at its relaxed geometry, as listed in the Alexandria database.

As for the total energy: -8.406 eV per atom. Its energy of formation from the pure elements is -0.32 eV/atom. Its density is 9.72 g/cm³. As for the volume: 207.7 Å³/cell. The excess energy over the best structure of this formula in the dataset is 0.00 eV/f.u.

The space group is I4/mmm (No. 139) and the conventional cell measures 4.432, 4.432 and 10.576 Å, with angles of 90.00, 90.00 and 90.00 degrees. The distinct sites, in fractional coordinates, are Ca at (0.000, 0.000, 0.000), Ta at (0.000, 0.500, 0.250) and Rh at (0.000, 0.000, 0.373).

=====

Record 5
First-principles (GGA-PBE) data for crystalline CuTcSb2 at its relaxed geometry, as listed in the Alexandria database.

Its raw formation energy is 0.199 eV/atom. As for the total energy: -5.478 eV per atom. Its density is 8.76 g/cm³. As for the volume: 76.8 Å³/cell. The excess energy over the best structure of this formula in the dataset is 0.36 eV/f.u.

The space group is P2/m (No. 10) and the conventional cell measures 3.275, 3.270 and 7.282 Å, with angles of 90.00, 100.09 and 90.00 degrees. The distinct sites, in fractional coordinates, are Cu at (0.000, 0.000, 0.000), Tc at (0.000, 0.000, 0.500) and Sb at (0.415, 0.500, 0.271).

=====

Record 6
First-principles (GGA-PBE) data for crystalline Nd2HoRh at its relaxed geometry, as listed in the Alexandria database.

As for the total energy: -5.424 eV per atom. Its energy of formation from the pure elements is -0.06 eV/atom. Its density is 7.28 g/cm³. As for the volume: 380.9 Å³/cell. The excess energy over the best structure of this formula in the dataset is 1.58 eV/f.u.

The space group is R-3m (No. 166, hexagonal axes) and the conventional cell measures 3.7103, 3.7103 and 31.9462 Å, with angles of 90.00, 90.00 and 120.00 degrees. The distinct sites, in fractional coordinates, are Nd at (0.0000, 0.0000, 0.1092), Ho at (0.0000, 0.0000, 0.0000) and Rh at (0.0000, 0.0000, 0.5000).

=====

Record 7
First-principles (GGA-PBE) data for crystalline YCdP2 at its relaxed geometry, as listed in the Alexandria database.

As for the total energy: -4.986 eV per atom. Its energy of formation from the pure elements is -0.44 eV/atom. Its density is 4.99 g/cm³. As for the volume: 350.6 Å³/cell.

The space group is I-42d (No. 122) and the conventional cell measures 7.222, 7.222 and 6.723 Å, with angles of 90.00, 90.00 and 90.00 degrees. The distinct sites, in fractional coordinates, are Y at (0.000, 0.000, 0.000), Cd at (0.000, 0.000, 0.500) and P at (0.229, 0.250, 0.625).

=====

Record 8
First-principles (GGA-PBE) data for crystalline ScCdPdO4 at its relaxed geometry, as listed in the Alexandria database.

Its raw formation energy is -1.649 eV/atom. As for the total energy: -6.259 eV per atom. Its density is 5.88 g/cm³. As for the volume: 370.1 Å³/cell.

The space group is Imma (No. 74) and the conventional cell measures 6.489, 6.819 and 8.365 Å, with angles of 90.00, 90.00 and 90.00 degrees. The distinct sites, in fractional coordinates, are Sc at (0.250, 0.250, 0.250), Cd at (0.000, 0.250, 0.643), Pd at (0.000, 0.000, 0.000), O at (0.000, 0.045, 0.245) and O at (0.208, 0.250, 0.997).

=====

Record 9
First-principles (GGA-PBE) data for crystalline La4AlAu at its relaxed geometry, as listed in the Alexandria database.

As for the total energy: -4.839 eV per atom. Its energy of formation from the pure elements is -0.38 eV/atom. Its density is 7.13 g/cm³. As for the volume: 363.0 Å³/cell. The excess energy over the best structure of this formula in the dataset is 0.00 eV/f.u.

The space group is P2_1/m (No. 11) and the conventional cell measures 5.534, 7.209 and 9.176 Å, with angles of 90.00, 97.51 and 90.00 degrees. The distinct sites, in fractional coordinates, are La at (0.187, 0.250, 0.063), La at (0.214, 0.750, 0.384), La at (0.310, 0.520, 0.716), Al at (0.234, 0.250, 0.417) and Au at (0.332, 0.750, 0.058).

=====

Record 10
First-principles (GGA-PBE) data for crystalline La2CdSe at its relaxed geometry, as listed in the Alexandria database.

Its raw formation energy is -0.794 eV/atom. As for the total energy: -4.357 eV per atom. Its density is 6.96 g/cm³. As for the volume: 224.0 Å³/cell. The excess energy over the best structure of this formula in the dataset is 1.04 eV/f.u.

The space group is I4/mmm (No. 139) and the conventional cell measures 5.110, 5.110 and 8.580 Å, with angles of 90.00, 90.00 and 90.00 degrees. The distinct sites, in fractional coordinates, are La at (0.000, 0.500, 0.250), Cd at (0.000, 0.000, 0.000) and Se at (0.000, 0.000, 0.500).

=====

Record 11
First-principles (GGA-PBE) data for crystalline LiLaTh at its relaxed geometry, as listed in the Alexandria database.

As for the total energy: -4.624 eV per atom. Its energy of formation from the pure elements is 0.13 eV/atom. Its density is 7.01 g/cm³. As for the volume: 179.0 Å³/cell. The excess energy over the best structure of this formula in the dataset is 0.31 eV/f.u.

The space group is I4mm (No. 107) and the conventional cell measures 3.652, 3.652 and 13.422 Å, with angles of 90.00, 90.00 and 90.00 degrees. The distinct sites, in fractional coordinates, are Li at (0.000, 0.000, 0.000), La at (0.000, 0.000, 0.664) and Th at (0.000, 0.000, 0.347).

=====

Record 12
First-principles (GGA-PBE) data for crystalline LaCo7 at its relaxed geometry, as listed in the Alexandria database.

As for the total energy: -6.544 eV per atom. Its energy of formation from the pure elements is 0.29 eV/atom. Its density is 8.90 g/cm³. As for the volume: 411.4 Å³/cell.

The space group is Fm-3m (No. 225) and the conventional cell measures 7.438, 7.438 and 7.438 Å, with angles of 90.00, 90.00 and 90.00 degrees. The distinct sites, in fractional coordinates, are La at (0.000, 0.000, 0.000), Co at (0.000, 0.000, 0.500) and Co at (0.000, 0.250, 0.250).